Record 1
Material: Sr2YAlO
Method: DFT, PBE
State: relaxed

Values from the calculation:
ΔE_f (raw), eV per atom: -1.1496

a b c (Å): 5.1424 5.1424 4.8175
angles (deg): 90.00 90.00 90.00
Last column: nearest neighbours and their distance in Å.
Space group P4/mmm (No. 123)
Unique sites:
Sr (0.0000, 0.5000, 0.0000) (multiplicity 2)  2 O 2.57
Y (0.0000, 0.0000, 0.5000) (multiplicity 1)  2 O 2.41
Al (0.5000, 0.5000, 0.5000) (multiplicity 1)  8 Sr 3.52, 4 Y 3.64
O (0.0000, 0.0000, 0.0000) (multiplicity 1)  2 Y 2.41, 4 Sr 2.57



Record 2
Material: Sr3YAl2O8
Method: DFT, PBE
State: relaxed

Values from the calculation:
ΔE_f (raw), eV per atom: -2.8429

a b c (Å): 5.8365 5.8365 7.2345
angles (deg): 90.00 90.00 120.00
Last column: nearest neighbours and their distance in Å.
Space group P-3m1 (No. 164)
Unique sites:
Sr (0.0000, 0.0000, 0.0000) (multiplicity 1)  6 O 2.84
Sr (0.3333, 0.6667, 0.6525) (multiplicity 2)  1 O 2.30
Y (0.0000, 0.0000, 0.5000) (multiplicity 1)  6 O 2.23
Al (0.3333, 0.6667, 0.2107) (multiplicity 2)  4 O 1.74-1.77
O (0.1731, 0.3463, 0.3097) (multiplicity 6)  1 Al 1.77
O (0.3333, 0.6667, 0.9706) (multiplicity 2)  1 Al 1.74



Record 3
Material: SrY2AlO
Method: DFT, PBE
State: relaxed

Values from the calculation:
ΔE_f (raw), eV per atom: -1.2278

a b c (Å): 4.8051 4.8051 5.0160
angles (deg): 90.00 90.00 90.00
Last column: nearest neighbours and their distance in Å.
Space group P4/mmm (No. 123)
Unique sites:
Sr (0.0000, 0.0000, 0.0000) (multiplicity 1)  2 O 2.51
Y (0.0000, 0.5000, 0.5000) (multiplicity 2)  2 O 2.40
Al (0.5000, 0.5000, 0.0000) (multiplicity 1)  4 Sr 3.40, 8 Y 3.47
O (0.0000, 0.0000, 0.5000) (multiplicity 1)  4 Y 2.40, 2 Sr 2.51



Record 4
Material: SrYAl3O7
Method: DFT, PBE
State: relaxed

Values from the calculation:
ΔE_f (raw), eV per atom: -3.1556

a b c (Å): 11.0057 11.2232 5.1745
angles (deg): 90.00 90.00 90.00
Last column: nearest neighbours and their distance in Å.
Space group Cmm2 (No. 35)
Unique sites:
Sr (0.0000, 0.1619, 0.0000) (multiplicity 4)  6 O 2.53-2.75
Y (0.1589, 0.5000, 0.9696) (multiplicity 4)  6 O 2.27-2.43
Al (0.0000, 0.3602, 0.4505) (multiplicity 4)  4 O 1.76-1.79
Al (0.1498, 0.0000, 0.5289) (multiplicity 4)  4 O 1.74-1.79
Al (0.2500, 0.2500, 0.4996) (multiplicity 4)  4 O 1.76-1.79
O (0.0000, 0.0000, 0.6419) (multiplicity 2)  2 Al 1.75
O (0.0000, 0.3745, 0.7890) (multiplicity 4)  1 Al 1.76
O (0.0000, 0.5000, 0.2861) (multiplicity 2)  2 Al 1.79
O (0.1251, 0.2886, 0.3058) (multiplicity 8)  2 Al 1.76
O (0.1633, 0.0000, 0.1938) (multiplicity 4)  1 Al 1.74
O (0.2208, 0.1217, 0.6954) (multiplicity 8)  2 Al 1.79



Record 5
Material: Sr2AlZn2O6
Method: DFT, PBE
State: relaxed

Values from the calculation:
ΔE_f (raw), eV per atom: -2.0124

a b c (Å): 5.7747 5.7747 15.6689
angles (deg): 90.00 90.00 120.00
Last column: nearest neighbours and their distance in Å.
Space group R-3m (No. 166, hexagonal axes)
Unique sites:
Sr (0.0000, 0.0000, 0.2109) (multiplicity 6)  3 O 2.54
Al (0.0000, 0.0000, 0.0000) (multiplicity 3)  6 O 1.93
Zn (0.0000, 0.0000, 0.4116) (multiplicity 6)  3 O 1.86
O (0.0377, 0.5188, 0.7460) (multiplicity 18)  1 Zn 1.86, 1 Al 1.93



Record 6
Material: Sr3AlZn2O6
Method: DFT, PBE
State: relaxed

Values from the calculation:
ΔE_f (raw), eV per atom: -2.1352

a b c (Å): 5.6972 5.6972 6.4088
angles (deg): 90.00 90.00 120.00
Last column: nearest neighbours and their distance in Å.
Space group P-3m1 (No. 164)
Unique sites:
Sr (0.0000, 0.0000, 0.0000) (multiplicity 1)  6 O 2.58
Sr (0.3333, 0.6667, 0.6335) (multiplicity 2)  9 O 2.65-2.87, 1 Zn 2.89
Al (0.0000, 0.0000, 0.5000) (multiplicity 1)  6 O 1.95
Zn (0.3333, 0.6667, 0.1823) (multiplicity 2)  3 O 1.93
O (0.1588, 0.3175, 0.3194) (multiplicity 6)  1 Zn 1.93, 1 Al 1.95



Record 7
Material: Sr2AlZnO5
Method: DFT, PBE
State: relaxed

Values from the calculation:
ΔE_f (raw), eV per atom: -2.2961

a b c (Å): 3.2892 15.0604 9.8608
angles (deg): 90.00 90.00 90.00
Last column: nearest neighbours and their distance in Å.
Space group Cmc2_1 (No. 36)
Unique sites:
Sr (0.0000, 0.1146, 0.0000) (multiplicity 4)  6 O 2.49-2.70
Sr (0.0000, 0.1157, 0.6250) (multiplicity 4)  7 O 2.53-2.82
Al (0.0000, 0.4416, 0.7866) (multiplicity 4)  4 O 1.77-1.84
Zn (0.0000, 0.2265, 0.3394) (multiplicity 4)  5 O 1.96-2.14
O (0.0000, 0.0408, 0.3626) (multiplicity 4)  2 Al 1.83
O (0.0000, 0.2907, 0.9762) (multiplicity 4)  2 Zn 2.14
O (0.0000, 0.3257, 0.7294) (multiplicity 4)  1 Al 1.84
O (0.0000, 0.3558, 0.3155) (multiplicity 4)  1 Zn 1.96
O (0.0000, 0.4878, 0.6213) (multiplicity 4)  1 Al 1.77



Record 8
Material: Sr3ZrAl2O9
Method: DFT, PBE
State: relaxed

Values from the calculation:
ΔE_f (raw), eV per atom: -2.8026

a b c (Å): 5.5825 5.5825 6.8762
angles (deg): 90.00 90.00 120.00
Last column: nearest neighbours and their distance in Å.
Space group P-3m1 (No. 164)
Unique sites:
Sr (0.0000, 0.0000, 0.0000) (multiplicity 1)  12 O 2.77-2.79
Sr (0.3333, 0.6667, 0.6796) (multiplicity 2)  12 O 2.73-2.91
Zr (0.0000, 0.0000, 0.5000) (multiplicity 1)  6 O 2.09
Al (0.3333, 0.6667, 0.1596) (multiplicity 2)  6 O 1.89-1.95
O (0.0000, 0.5000, 0.0000) (multiplicity 3)  2 Al 1.95
O (0.1743, 0.3485, 0.3202) (multiplicity 6)  1 Al 1.89, 1 Zr 2.09